# 1
This record from Alexandria describes a relaxed structure of DyVO4. The functional is GGA+U.

Its symmetry is No. 141. The calculation puts the uncorrected energy at -8.059 eV per atom.

Cell lengths 6.0072, 6.0072, 6.0072 Å; angles 106.23, 106.23, 116.16 degrees
Last column: nearest neighbours and their distance in Å.
Fractional positions:
Dy (0.3750, 0.6250, 0.7500)  8 O 2.32-2.45
Dy (0.6250, 0.3750, 0.2500)  8 O 2.32-2.45
V (0.1250, 0.8750, 0.2500)  4 O 1.74
V (0.8750, 0.1250, 0.7500)  4 O 1.74
O (0.1337, 0.6990, 0.4347)  1 V 1.74
O (0.2358, 0.3010, 0.9347)  1 V 1.74
O (0.3010, 0.2358, 0.4347)  1 V 1.74
O (0.3010, 0.8663, 0.0653)  1 V 1.74
O (0.6990, 0.1337, 0.9347)  1 V 1.74
O (0.6990, 0.7642, 0.5653)  1 V 1.74
O (0.7642, 0.6990, 0.0653)  1 V 1.74
O (0.8663, 0.3010, 0.5653)  1 V 1.74

=====

# 2
This record from Alexandria describes a relaxed structure of DyVO2. The functional is GGA+U.

Its symmetry is No. 141. The calculation puts the uncorrected energy at -7.658 eV per atom.

Cell lengths 7.2809, 7.2809, 7.2809 Å; angles 129.56, 129.56, 74.11 degrees
Last column: nearest neighbours and their distance in Å.
Fractional positions:
Dy (0.0000, 0.0000, 0.0000)  6 O 2.33-2.34
Dy (0.0000, 0.0000, 0.5000)  6 O 2.33-2.34
Dy (0.0000, 0.5000, 0.0000)  6 O 2.33-2.34
Dy (0.5000, 0.0000, 0.5000)  6 O 2.33-2.34
V (0.0000, 0.5000, 0.5000)  4 O 2.20
V (0.5000, 0.0000, 0.0000)  4 O 2.20
V (0.5000, 0.5000, 0.0000)  4 O 2.20
V (0.5000, 0.5000, 0.5000)  4 O 2.20
O (0.2012, 0.2168, 0.5156)  2 V 2.20, 3 Dy 2.33-2.34
O (0.2012, 0.6856, 0.9844)  2 V 2.20, 3 Dy 2.33-2.34
O (0.2168, 0.2012, 0.0156)  2 V 2.20, 3 Dy 2.33-2.34
O (0.3144, 0.7988, 0.5156)  2 V 2.20, 3 Dy 2.33-2.34
O (0.6856, 0.2012, 0.4844)  2 V 2.20, 3 Dy 2.33-2.34
O (0.7832, 0.7988, 0.9844)  2 V 2.20, 3 Dy 2.33-2.34
O (0.7988, 0.3144, 0.0156)  2 V 2.20, 3 Dy 2.33-2.34
O (0.7988, 0.7832, 0.4844)  2 V 2.20, 3 Dy 2.33-2.34

=====

# 3
This record from Alexandria describes a relaxed structure of Dy5V2O12. The functional is GGA+U.

Its symmetry is No. 12. The calculation puts the uncorrected energy at -8.217 eV per atom.

Cell lengths 6.7641, 6.7641, 7.3287 Å; angles 105.78, 105.78, 50.66 degrees
Last column: nearest neighbours and their distance in Å.
Fractional positions:
Dy (0.0000, 0.0000, 0.0000)  6 O 2.30-2.31
Dy (0.3058, 0.3058, 0.1416)  7 O 2.29-2.41
Dy (0.3107, 0.3107, 0.6702)  7 O 2.29-2.42
Dy (0.6893, 0.6893, 0.3298)  7 O 2.29-2.42
Dy (0.6942, 0.6942, 0.8584)  7 O 2.29-2.41
V (0.2330, 0.7670, 0.5000)  6 O 1.87-2.02
V (0.7670, 0.2330, 0.5000)  6 O 1.87-2.02
O (0.0005, 0.0005, 0.6863)  2 V 1.92
O (0.0969, 0.5957, 0.9238)  4 Dy 2.29-2.31
O (0.0980, 0.5826, 0.4205)  1 V 1.87
O (0.4043, 0.9031, 0.0762)  4 Dy 2.29-2.31
O (0.4174, 0.9020, 0.5795)  1 V 1.87
O (0.4999, 0.4999, 0.3221)  2 V 2.02
O (0.5001, 0.5001, 0.6779)  2 V 2.02
O (0.5826, 0.0980, 0.4205)  1 V 1.87
O (0.5957, 0.0969, 0.9238)  4 Dy 2.29-2.31
O (0.9020, 0.4174, 0.5795)  1 V 1.87
O (0.9031, 0.4043, 0.0762)  4 Dy 2.29-2.31
O (0.9995, 0.9995, 0.3137)  2 V 1.92

=====

# 4
This record from Alexandria describes a relaxed structure of DyVO4. The functional is GGA+U.

Its symmetry is No. 88. The calculation puts the uncorrected energy at -8.023 eV per atom.

Cell lengths 6.6977, 6.6977, 6.6977 Å; angles 135.37, 135.37, 64.96 degrees
Last column: nearest neighbours and their distance in Å.
Fractional positions:
Dy (0.3750, 0.1250, 0.2500)  8 O 2.37-2.40
Dy (0.6250, 0.8750, 0.7500)  8 O 2.37-2.40
V (0.1250, 0.3750, 0.7500)  4 O 1.76
V (0.8750, 0.6250, 0.2500)  4 O 1.76
O (0.0588, 0.2004, 0.3473)  1 V 1.76
O (0.2114, 0.5588, 0.3584)  1 V 1.76
O (0.2996, 0.1470, 0.8584)  1 V 1.76
O (0.3530, 0.7114, 0.1527)  1 V 1.76
O (0.6470, 0.2886, 0.8473)  1 V 1.76
O (0.7004, 0.8530, 0.1416)  1 V 1.76
O (0.7886, 0.4412, 0.6416)  1 V 1.76
O (0.9412, 0.7996, 0.6527)  1 V 1.76

=====

# 5
This record from Alexandria describes a relaxed structure of Dy4V6O19. The functional is GGA+U.

Its symmetry is No. 1. The calculation puts the uncorrected energy at -7.880 eV per atom.

Cell lengths 7.6894, 7.6920, 7.7436 Å; angles 108.73, 109.53, 109.85 degrees
Last column: nearest neighbours and their distance in Å.
Fractional positions:
Dy (0.0000, 0.0000, 0.0000)  5 O 2.22-2.41
Dy (0.0291, 0.3109, 0.7170)  4 O 2.24-2.32
Dy (0.3211, 0.6123, 0.3106)  4 O 2.24-2.32
Dy (0.7271, 0.2993, 0.0274)  5 O 2.22-2.41
V (0.1835, 0.9698, 0.5138)  6 O 1.90-2.01
V (0.3636, 0.7912, 0.8318)  4 O 1.78-1.99
V (0.4868, 0.1427, 0.3182)  4 O 1.75-1.86
V (0.5520, 0.4688, 0.7097)  4 O 1.75-1.87
V (0.6871, 0.8319, 0.1960)  4 O 1.78-1.99
V (0.8648, 0.6511, 0.5138)  6 O 1.89-2.03
O (0.0185, 0.9632, 0.6648)  2 V 1.97-1.99
O (0.0233, 0.3096, 0.0138)  4 Dy 2.29-2.32
O (0.0263, 0.6539, 0.3632)  2 V 1.97-1.99
O (0.0512, 0.6033, 0.6998)  2 V 1.89-1.99
O (0.2874, 0.2816, 0.6591)  2 V 1.87-2.00
O (0.3147, 0.9924, 0.0452)  1 V 1.75
O (0.3501, 0.9285, 0.3683)  2 V 1.86-2.01
O (0.3667, 0.2983, 0.3562)  1 V 1.75
O (0.3744, 0.6607, 0.0140)  2 V 1.97
O (0.3753, 0.6192, 0.6229)  1 V 1.78
O (0.4096, 0.0153, 0.7534)  2 V 1.90-1.97
O (0.6312, 0.6518, 0.3284)  2 V 1.89-1.99
O (0.6694, 0.3104, 0.6710)  1 V 1.76
O (0.6743, 0.5688, 0.9825)  1 V 1.75
O (0.6824, 0.9685, 0.0138)  2 V 2.01
O (0.7048, 0.3344, 0.3135)  2 V 1.84-2.03
O (0.7243, 0.0524, 0.4049)  1 V 1.78
O (0.7488, 0.6913, 0.7147)  2 V 1.84-2.03
O (0.9894, 0.9555, 0.2737)  2 V 1.90-1.97

=====

# 6
This record from Alexandria describes a relaxed structure of DyV2O4. The functional is GGA+U.

Its symmetry is No. 15. The calculation puts the uncorrected energy at -8.087 eV per atom.

Cell lengths 5.9312, 5.9312, 6.8001 Å; angles 123.75, 123.75, 72.61 degrees
Last column: nearest neighbours and their distance in Å.
Fractional positions:
Dy (0.1197, 0.8803, 0.7500)  4 O 2.21-2.26
Dy (0.8803, 0.1197, 0.2500)  4 O 2.21-2.26
V (0.0000, 0.5000, 0.0000)  6 O 2.11-2.18
V (0.5000, 0.0000, 0.5000)  6 O 2.11-2.18
V (0.5000, 0.5000, 0.0000)  6 O 2.06-2.18
V (0.5000, 0.5000, 0.5000)  6 O 2.06-2.18
O (0.2090, 0.7836, 0.4353)  3 V 2.06-2.18, 1 Dy 2.21
O (0.2164, 0.7910, 0.0647)  3 V 2.06-2.18, 1 Dy 2.21
O (0.2725, 0.3601, 0.5654)  3 V 2.11-2.18, 1 Dy 2.26
O (0.3601, 0.2725, 0.0654)  3 V 2.11-2.18, 1 Dy 2.26
O (0.6399, 0.7275, 0.9346)  3 V 2.11-2.18, 1 Dy 2.26
O (0.7275, 0.6399, 0.4346)  3 V 2.11-2.18, 1 Dy 2.26
O (0.7836, 0.2090, 0.9353)  3 V 2.06-2.18, 1 Dy 2.21
O (0.7910, 0.2164, 0.5647)  3 V 2.06-2.18, 1 Dy 2.21

=====

# 7
This record from Alexandria describes a relaxed structure of Dy2VO5. The functional is GGA+U.

Its symmetry is No. 14. The calculation puts the uncorrected energy at -8.195 eV per atom.

Cell lengths 9.2674, 7.0951, 6.7816 Å; angles 90.00, 95.27, 90.00 degrees
Last column: nearest neighbours and their distance in Å.
Fractional positions:
Dy (0.0291, 0.1192, 0.2304)  6 O 2.25-2.47
Dy (0.0291, 0.3808, 0.7304)  6 O 2.25-2.47
Dy (0.3475, 0.1472, 0.9572)  7 O 2.26-2.36
Dy (0.3475, 0.3528, 0.4572)  7 O 2.26-2.36
Dy (0.6525, 0.6472, 0.5428)  7 O 2.26-2.36
Dy (0.6525, 0.8528, 0.0428)  7 O 2.26-2.36
Dy (0.9709, 0.6192, 0.2696)  6 O 2.25-2.47
Dy (0.9709, 0.8808, 0.7696)  6 O 2.25-2.47
V (0.3080, 0.6026, 0.9584)  4 O 1.80-1.88
V (0.3080, 0.8974, 0.4584)  4 O 1.80-1.88
V (0.6920, 0.1026, 0.5416)  4 O 1.80-1.88
V (0.6920, 0.3974, 0.0416)  4 O 1.80-1.88
O (0.1034, 0.1191, 0.9096)  4 Dy 2.25-2.34
O (0.1034, 0.3809, 0.4096)  4 Dy 2.25-2.34
O (0.1089, 0.6425, 0.9541)  1 V 1.86
O (0.1089, 0.8575, 0.4541)  1 V 1.86
O (0.2781, 0.0853, 0.2643)  1 V 1.88
O (0.2781, 0.4147, 0.7643)  1 V 1.88
O (0.3770, 0.0688, 0.6386)  1 V 1.80
O (0.3770, 0.4312, 0.1386)  1 V 1.80
O (0.3995, 0.6738, 0.4858)  1 V 1.80
O (0.3995, 0.8262, 0.9858)  1 V 1.80
O (0.6005, 0.1738, 0.0142)  1 V 1.80
O (0.6005, 0.3262, 0.5142)  1 V 1.80
O (0.6230, 0.5688, 0.8614)  1 V 1.80
O (0.6230, 0.9312, 0.3614)  1 V 1.80
O (0.7219, 0.5853, 0.2357)  1 V 1.88
O (0.7219, 0.9147, 0.7357)  1 V 1.88
O (0.8911, 0.1425, 0.5459)  1 V 1.86
O (0.8911, 0.3575, 0.0459)  1 V 1.86
O (0.8966, 0.6191, 0.5904)  4 Dy 2.25-2.34
O (0.8966, 0.8809, 0.0904)  4 Dy 2.25-2.34

=====

# 8
This record from Alexandria describes a relaxed structure of Dy2VO6. The functional is GGA+U.

Its symmetry is No. 14. The calculation puts the uncorrected energy at -7.777 eV per atom.

Cell lengths 5.3393, 5.9150, 8.5659 Å; angles 90.00, 120.79, 90.00 degrees
Last column: nearest neighbours and their distance in Å.
Fractional positions:
Dy (0.1959, 0.0969, 0.2397)  7 O 2.27-2.43
Dy (0.1959, 0.4031, 0.7397)  7 O 2.27-2.43
Dy (0.8041, 0.5969, 0.2603)  7 O 2.27-2.43
Dy (0.8041, 0.9031, 0.7603)  7 O 2.27-2.43
V (0.5000, 0.0000, 0.0000)  6 O 1.85-1.92
V (0.5000, 0.5000, 0.5000)  6 O 1.85-1.92
O (0.1556, 0.1577, 0.9470)  1 V 1.90
O (0.1556, 0.3423, 0.4470)  1 V 1.90
O (0.2765, 0.7258, 0.9176)  1 V 1.92
O (0.2765, 0.7742, 0.4176)  1 V 1.92
O (0.4225, 0.0624, 0.7677)  1 V 1.85
O (0.4225, 0.4376, 0.2677)  1 V 1.85
O (0.5775, 0.5624, 0.7323)  1 V 1.85
O (0.5775, 0.9376, 0.2323)  1 V 1.85
O (0.7235, 0.2258, 0.5824)  1 V 1.92
O (0.7235, 0.2742, 0.0824)  1 V 1.92
O (0.8444, 0.6577, 0.5530)  1 V 1.90
O (0.8444, 0.8423, 0.0530)  1 V 1.90

=====

What did the sixth record say?
This record from Alexandria describes a relaxed structure of DyV2O4. The functional is GGA+U.

Its symmetry is No. 15. The calculation puts the uncorrected energy at -8.087 eV per atom.

Cell lengths 5.9312, 5.9312, 6.8001 Å; angles 123.75, 123.75, 72.61 degrees
Last column: nearest neighbours and their distance in Å.
Fractional positions:
Dy (0.1197, 0.8803, 0.7500)  4 O 2.21-2.26
Dy (0.8803, 0.1197, 0.2500)  4 O 2.21-2.26
V (0.0000, 0.5000, 0.0000)  6 O 2.11-2.18
V (0.5000, 0.0000, 0.5000)  6 O 2.11-2.18
V (0.5000, 0.5000, 0.0000)  6 O 2.06-2.18
V (0.5000, 0.5000, 0.5000)  6 O 2.06-2.18
O (0.2090, 0.7836, 0.4353)  3 V 2.06-2.18, 1 Dy 2.21
O (0.2164, 0.7910, 0.0647)  3 V 2.06-2.18, 1 Dy 2.21
O (0.2725, 0.3601, 0.5654)  3 V 2.11-2.18, 1 Dy 2.26
O (0.3601, 0.2725, 0.0654)  3 V 2.11-2.18, 1 Dy 2.26
O (0.6399, 0.7275, 0.9346)  3 V 2.11-2.18, 1 Dy 2.26
O (0.7275, 0.6399, 0.4346)  3 V 2.11-2.18, 1 Dy 2.26
O (0.7836, 0.2090, 0.9353)  3 V 2.06-2.18, 1 Dy 2.21
O (0.7910, 0.2164, 0.5647)  3 V 2.06-2.18, 1 Dy 2.21

=====

The lowest uncorrected energy belongs to which entry?
Dy5V2O12

=====

Please write out number 3 again, unchanged.
This record from Alexandria describes a relaxed structure of Dy5V2O12. The functional is GGA+U.

Its symmetry is No. 12. The calculation puts the uncorrected energy at -8.217 eV per atom.

Cell lengths 6.7641, 6.7641, 7.3287 Å; angles 105.78, 105.78, 50.66 degrees
Last column: nearest neighbours and their distance in Å.
Fractional positions:
Dy (0.0000, 0.0000, 0.0000)  6 O 2.30-2.31
Dy (0.3058, 0.3058, 0.1416)  7 O 2.29-2.41
Dy (0.3107, 0.3107, 0.6702)  7 O 2.29-2.42
Dy (0.6893, 0.6893, 0.3298)  7 O 2.29-2.42
Dy (0.6942, 0.6942, 0.8584)  7 O 2.29-2.41
V (0.2330, 0.7670, 0.5000)  6 O 1.87-2.02
V (0.7670, 0.2330, 0.5000)  6 O 1.87-2.02
O (0.0005, 0.0005, 0.6863)  2 V 1.92
O (0.0969, 0.5957, 0.9238)  4 Dy 2.29-2.31
O (0.0980, 0.5826, 0.4205)  1 V 1.87
O (0.4043, 0.9031, 0.0762)  4 Dy 2.29-2.31
O (0.4174, 0.9020, 0.5795)  1 V 1.87
O (0.4999, 0.4999, 0.3221)  2 V 2.02
O (0.5001, 0.5001, 0.6779)  2 V 2.02
O (0.5826, 0.0980, 0.4205)  1 V 1.87
O (0.5957, 0.0969, 0.9238)  4 Dy 2.29-2.31
O (0.9020, 0.4174, 0.5795)  1 V 1.87
O (0.9031, 0.4043, 0.0762)  4 Dy 2.29-2.31
O (0.9995, 0.9995, 0.3137)  2 V 1.92